No. 1
HfSc3Si8 | GGA-PBE | optimized geometry

Geometry as POSCAR:
```
HfSc3Si8
1.0
3.665 0.000 0.000
0.000 3.744 0.000
0.000 0.000 14.536
Si Sc Hf
8 3 1
Direct
0.000 0.000 0.449
0.500 0.000 0.553
0.000 0.000 0.750
0.500 0.000 0.250
0.000 0.500 0.944
0.500 0.500 0.751
0.000 0.500 0.249
0.500 0.500 0.053
0.500 0.500 0.397
0.500 0.000 0.899
0.000 0.500 0.603
0.000 0.000 0.103
```

Energy relative to the elements, uncorrected = -0.544 eV per atom
Crystal system = orthorhombic
Symmetry = No. 25
Total magnetization = 0.00 μB/cell

---

No. 2
MgGaPd2 | GGA-PBE | optimized geometry

Geometry as POSCAR:
```
MgGaPd2
1.0
-3.260 -4.340 -0.066
2.627 -4.520 1.461
-1.092 0.746 4.298
Pd Mg Ga
4 2 2
Direct
0.643 0.123 0.251
0.357 0.877 0.749
0.123 0.643 0.251
0.877 0.357 0.749
0.372 0.372 0.751
0.628 0.628 0.249
0.862 0.862 0.750
0.138 0.138 0.250
```

Formation energy from the elements = -0.71 eV/atom
Crystal system = monoclinic
Symmetry = No. 12
Total magnetization = 0.00 μB/cell

---

No. 3
PmGe2Pd6 | GGA-PBE | optimized geometry

Geometry as POSCAR:
```
PmGe2Pd6
1.0
-1.542 -2.961 2.628
3.551 0.213 2.323
-3.575 6.208 4.898
Pd Pm Ge
6 1 2
Direct
0.000 0.500 0.288
0.500 0.500 0.500
0.000 0.500 0.712
0.000 0.000 0.500
0.500 0.000 0.712
0.500 0.000 0.288
0.000 0.000 0.000
0.500 0.500 0.856
0.500 0.500 0.144
```

Formation energy from the elements = -0.50 eV/atom
Crystal system = tetragonal
Symmetry = No. 123
Total magnetization = 0.00 μB/cell

---

No. 4
LuTlIn4 | GGA-PBE | optimized geometry

Geometry as POSCAR:
```
LuTlIn4
1.0
6.121 0.000 0.000
3.061 5.301 0.000
3.061 1.767 4.998
In Tl Lu
4 1 1
Direct
0.625 0.625 0.625
0.625 0.124 0.625
0.124 0.625 0.625
0.625 0.625 0.124
0.250 0.250 0.250
0.000 0.000 0.000
```

Formation energy from the elements = -0.02 eV/atom
Crystal system = cubic
Symmetry = No. 216
Total magnetization = 0.00 μB/cell

---

No. 5
Dy2TmZn4 | GGA-PBE | optimized geometry

Geometry as POSCAR:
```
Dy2TmZn4
1.0
-1.718 -4.787 0.460
2.251 -1.232 -4.415
4.912 1.446 5.055
Zn Dy Tm
4 2 1
Direct
0.891 0.391 0.782
0.109 0.609 0.218
0.609 0.109 0.218
0.391 0.891 0.782
0.726 0.726 0.453
0.274 0.274 0.547
0.000 0.000 0.000
```

Formation energy from the elements = -0.16 eV/atom
Crystal system = tetragonal
Symmetry = No. 139
Total magnetization = 0.00 μB/cell

---

No. 6
NaBi2Pb2 | GGA-PBE | optimized geometry

Geometry as POSCAR:
```
NaBi2Pb2
1.0
-7.421 -2.248 4.679
-3.857 -3.076 -7.595
1.572 -3.717 0.707
Bi Pb Na
4 4 2
Direct
0.655 0.845 0.500
0.345 0.155 0.500
0.845 0.345 0.500
0.155 0.655 0.500
0.136 0.364 0.000
0.636 0.136 0.000
0.864 0.636 0.000
0.364 0.864 0.000
0.500 0.500 0.000
0.000 0.000 0.000
```

Formation energy from the elements = -0.03 eV/atom
Crystal system = tetragonal
Symmetry = No. 127
Total magnetization = 0.00 μB/cell

---

No. 7
LaIn | GGA-PBE | optimized geometry

Geometry as POSCAR:
```
LaIn
1.0
-0.430 0.761 -3.466
0.414 -3.392 1.047
-11.125 -0.999 1.159
La In
2 2
Direct
0.000 0.000 0.000
0.000 0.000 0.500
0.333 0.667 0.250
0.667 0.333 0.750
```

Formation energy from the elements = -0.25 eV/atom
Crystal system = hexagonal
Symmetry = No. 194
Total magnetization = 0.00 μB/cell

---

No. 8
ThH2Ir | GGA-PBE | optimized geometry

Geometry as POSCAR:
```
ThH2Ir
1.0
4.376 0.000 0.000
0.000 6.124 0.000
0.000 0.000 7.974
H Ir Th
8 4 4
Direct
0.019 0.158 0.917
0.481 0.342 0.417
0.019 0.342 0.417
0.981 0.842 0.083
0.519 0.658 0.583
0.981 0.658 0.583
0.481 0.158 0.917
0.519 0.842 0.083
0.750 0.142 0.463
0.250 0.642 0.037
0.750 0.358 0.963
0.250 0.858 0.537
0.750 0.658 0.311
0.250 0.158 0.189
0.750 0.842 0.811
0.250 0.342 0.689
```

Crystal system = orthorhombic
Symmetry = No. 62
Total magnetization = 0.00 μB/cell
Electronic total energy = -101.8 eV for the cell shown

---

No. 9
Ta4Nb3Pd | GGA-PBE | optimized geometry

Geometry as POSCAR:
```
Ta4Nb3Pd
1.0
3.324 0.000 0.000
0.000 3.324 0.000
0.000 0.000 12.960
Pd Ta Nb
1 4 3
Direct
0.500 0.500 0.000
0.000 0.000 0.876
0.000 0.000 0.629
0.000 0.000 0.124
0.000 0.000 0.371
0.500 0.500 0.755
0.500 0.500 0.245
0.500 0.500 0.500
```

Formation energy from the elements = -0.08 eV/atom
Crystal system = tetragonal
Symmetry = No. 123
Total magnetization = 0.00 μB/cell

---

No. 10
Pu2Al3Sn3 | GGA-PBE | optimized geometry

Geometry as POSCAR:
```
Pu2Al3Sn3
1.0
-1.416 3.348 -2.578
-4.105 -0.393 1.744
2.154 5.827 6.383
Sn Pu Al
3 2 3
Direct
0.000 0.500 0.500
0.500 0.000 0.500
0.000 0.500 0.000
0.000 0.000 0.752
0.000 0.000 0.248
0.500 0.500 0.763
0.500 0.000 0.000
0.500 0.500 0.237
```

Formation energy from the elements = -0.30 eV/atom
Crystal system = orthorhombic
Symmetry = No. 47
Total magnetization = 10.80 μB/cell

---

No. 11
YNpS3 | GGA-PBE | optimized geometry

Geometry as POSCAR:
```
YNpS3
1.0
3.920 0.000 0.000
0.000 7.322 0.000
0.000 0.000 15.041
S Y Np
12 4 4
Direct
0.250 0.010 0.392
0.250 0.145 0.779
0.250 0.645 0.721
0.750 0.490 0.892
0.750 0.125 0.068
0.250 0.510 0.108
0.750 0.355 0.279
0.750 0.855 0.221
0.750 0.990 0.608
0.250 0.875 0.932
0.750 0.625 0.432
0.250 0.375 0.568
0.750 0.237 0.457
0.250 0.263 0.957
0.750 0.737 0.043
0.250 0.763 0.543
0.750 0.361 0.708
0.250 0.639 0.292
0.250 0.139 0.208
0.750 0.861 0.792
```

Energy relative to the elements, uncorrected = -1.743 eV per atom
Crystal system = orthorhombic
Symmetry = No. 62
Total magnetization = 15.87 μB/cell

---

No. 12
Pm3Tl2O | GGA-PBE | optimized geometry

Geometry as POSCAR:
```
Pm3Tl2O
1.0
6.615 0.000 0.000
0.000 7.111 0.315
-3.308 -1.472 6.898
Pm O Tl
6 2 4
Direct
0.031 0.133 0.244
0.788 0.367 0.756
0.969 0.867 0.756
0.212 0.633 0.244
0.593 0.750 0.000
0.407 0.250 0.000
0.064 0.250 0.000
0.936 0.750 0.000
0.760 0.540 0.365
0.606 0.040 0.365
0.240 0.460 0.635
0.394 0.960 0.635
```

Energy relative to the elements, uncorrected = -1.086 eV per atom
Crystal system = monoclinic
Symmetry = No. 15
Total magnetization = 0.00 μB/cell

---

No. 13
CuSi | GGA-PBE | optimized geometry

Geometry as POSCAR:
```
CuSi
1.0
-5.587 2.066 -2.593
-4.442 -0.758 -4.681
-1.666 -1.521 1.144
Cu Si
2 2
Direct
0.778 0.111 0.056
0.139 0.473 0.694
0.558 0.891 0.275
0.359 0.692 0.475
```

Energy relative to the elements, uncorrected = 0.041 eV per atom
Crystal system = orthorhombic
Symmetry = No. 71
Total magnetization = 0.00 μB/cell

---

No. 14
Ba2YPd | GGA-PBE | optimized geometry

Geometry as POSCAR:
```
Ba2YPd
1.0
-0.212 -4.771 3.454
-5.195 -2.032 1.902
-2.131 -5.074 -2.110
Y Pd Ba
1 1 2
Direct
0.000 0.000 0.000
0.500 0.500 0.500
0.250 0.250 0.250
0.750 0.750 0.750
```

Formation energy from the elements = 0.26 eV/atom
Crystal system = cubic
Symmetry = No. 225
Total magnetization = 0.00 μB/cell

---

No. 15
TiNbReOs | GGA-PBE | optimized geometry

Geometry as POSCAR:
```
TiNbReOs
1.0
-2.375 -2.002 -0.549
2.479 -3.374 1.579
-1.579 0.753 4.088
Os Ti Nb Re
1 1 1 1
Direct
0.000 0.500 0.500
0.500 0.500 0.000
0.500 0.000 0.500
0.000 0.000 0.000
```

Formation energy from the elements = -0.45 eV/atom
Crystal system = orthorhombic
Symmetry = No. 47
Total magnetization = 0.00 μB/cell

---

No. 16
KNa8Tl4 | GGA-PBE | optimized geometry

Geometry as POSCAR:
```
KNa8Tl4
1.0
8.868 0.000 0.000
4.434 7.680 0.000
4.434 2.560 7.240
Na K Tl
8 1 4
Direct
0.596 0.596 0.213
0.596 0.596 0.596
0.100 0.100 0.699
0.213 0.596 0.596
0.699 0.100 0.100
0.100 0.100 0.100
0.100 0.699 0.100
0.596 0.213 0.596
0.750 0.750 0.750
0.345 0.345 0.965
0.965 0.345 0.345
0.345 0.345 0.345
0.345 0.965 0.345
```

Formation energy from the elements = 0.04 eV/atom
Crystal system = cubic
Symmetry = No. 216
Total magnetization = 0.00 μB/cell

---

No. 17
K2LaMn | GGA-PBE | optimized geometry

Geometry as POSCAR:
```
K2LaMn
1.0
4.368 -1.344 3.627
-0.143 1.825 5.541
-0.864 -3.834 4.313
Mn La K
1 1 2
Direct
0.000 0.000 0.000
0.500 0.500 0.500
0.750 0.750 0.750
0.250 0.250 0.250
```

Formation energy from the elements = 1.60 eV/atom
Crystal system = cubic
Symmetry = No. 225
Total magnetization = 0.38 μB/cell

---

No. 18
Ba2HfPaO6 | GGA-PBE | optimized geometry

Geometry as POSCAR:
```
Ba2HfPaO6
1.0
4.357 0.000 0.000
0.000 4.357 0.000
0.000 0.000 8.734
O Pa Ba Hf
6 1 2 1
Direct
0.500 0.000 0.000
0.000 0.500 0.000
0.500 0.500 0.262
0.500 0.000 0.500
0.500 0.500 0.738
0.000 0.500 0.500
0.500 0.500 0.000
0.000 0.000 0.272
0.000 0.000 0.728
0.500 0.500 0.500
```

Energy relative to the elements, uncorrected = -3.234 eV per atom
Crystal system = tetragonal
Symmetry = No. 123
Total magnetization = 0.79 μB/cell

---

No. 19
YRhW2 | GGA-PBE | optimized geometry

Geometry as POSCAR:
```
YRhW2
1.0
-0.676 2.447 2.118
-1.596 -2.906 2.848
4.524 -0.501 2.024
W Rh Y
2 1 1
Direct
0.000 0.000 0.000
0.500 0.500 0.000
0.000 0.500 0.500
0.500 0.000 0.500
```

Formation energy from the elements = 0.17 eV/atom
Crystal system = orthorhombic
Symmetry = No. 47
Total magnetization = 0.00 μB/cell

---

No. 20
Ac3CdFe | GGA-PBE | optimized geometry

Geometry as POSCAR:
```
Ac3CdFe
1.0
5.528 0.000 0.000
0.000 5.528 0.000
0.000 0.000 5.528
Cd Ac Fe
1 3 1
Direct
0.500 0.500 0.500
0.000 0.500 0.000
0.000 0.000 0.500
0.500 0.000 0.000
0.000 0.000 0.000
```

Formation energy from the elements = 0.02 eV/atom
Crystal system = cubic
Symmetry = No. 221
Total magnetization = 0.23 μB/cell